Below is a relaxed structure of Sc2SiBIr, with properties calculated at the PBE level.

- calculated density (Mg/m³) = 4.8
- energy relative to the elements, uncorrected (eV/atom) = 0.491

CIF file:
```
data_Sc2SiBIr
_space_group_name_H-M_alt 'P 4/m m m'
_space_group_IT_number 123
_space_group_name_Hall '-P 4 2'
_cell_length_a 5.0126
_cell_length_b 5.0126
_cell_length_c 4.4545
_cell_angle_alpha 90.00
_cell_angle_beta 90.00
_cell_angle_gamma 90.00
loop_
_atom_site_label
_atom_site_fract_x
_atom_site_fract_y
_atom_site_fract_z
Sc1 0.0000 0.5000 0.0000
Si1 0.0000 0.0000 0.5000
B1 0.5000 0.5000 0.5000
Ir1 0.0000 0.0000 0.0000
```